a:
DFT (PBE-GGA) results for Nd6IrRh2 after structural relaxation.

Cell lengths 8.2508, 8.2508, 7.7961 Å; angles 94.99, 94.99, 73.87 degrees
Fractional positions:
Nd (0.1154, 0.1150, 0.3646)
Nd (0.1150, 0.1154, 0.8646)
Nd (0.1891, 0.5509, 0.4051)
Nd (0.1909, 0.5508, 0.9053)
Nd (0.4492, 0.8091, 0.5947)
Nd (0.4491, 0.8109, 0.0949)
Nd (0.5509, 0.1891, 0.9051)
Nd (0.5508, 0.1909, 0.4053)
Nd (0.8091, 0.4492, 0.0947)
Nd (0.8109, 0.4491, 0.5949)
Nd (0.8850, 0.8846, 0.1354)
Nd (0.8846, 0.8850, 0.6354)
Ir (0.4988, 0.5012, 0.2500)
Ir (0.5012, 0.4988, 0.7500)
Rh (0.2668, 0.2670, 0.1409)
Rh (0.2670, 0.2668, 0.6409)
Rh (0.7330, 0.7332, 0.3591)
Rh (0.7332, 0.7330, 0.8591)

Properties
SG: C2/c, No. 15



b:
DFT (PBE-GGA) results for Nd6IrRh2 after structural relaxation.

Cell lengths 6.8357, 7.4411, 12.0630 Å; angles 90.00, 120.97, 90.00 degrees
Fractional positions:
Nd (0.0831, 0.0567, 0.2511)
Nd (0.0831, 0.4433, 0.7511)
Nd (0.2569, 0.6771, 0.0803)
Nd (0.2569, 0.8229, 0.5803)
Nd (0.4043, 0.1810, 0.0690)
Nd (0.4043, 0.3190, 0.5690)
Nd (0.5957, 0.6810, 0.4310)
Nd (0.5957, 0.8190, 0.9310)
Nd (0.7431, 0.1771, 0.4197)
Nd (0.7431, 0.3229, 0.9197)
Nd (0.9169, 0.5567, 0.2489)
Nd (0.9169, 0.9433, 0.7489)
Ir (0.0000, 0.0000, 0.0000)
Ir (0.0000, 0.5000, 0.5000)
Rh (0.3206, 0.1129, 0.7714)
Rh (0.3206, 0.3871, 0.2714)
Rh (0.6794, 0.6129, 0.7286)
Rh (0.6794, 0.8871, 0.2286)

Properties
SG: P2_1/c, No. 14



Stability, lowest: a